BaIBr | PBE | optimized geometry

The structure in CIF format:
```
data_BaIBr
_chemical_formula_sum 'Ba4 I4 Br4'
_space_group_name_H-M_alt 'C 1 2/m 1'
_space_group_IT_number 12
_cell_length_a 9.2928
_cell_length_b 5.3763
_cell_length_c 12.1427
_cell_angle_alpha 90.00
_cell_angle_beta 105.71
_cell_angle_gamma 90.00
loop_
_space_group_symop_operation_xyz
'x,y,z'
'-x,-y,-z'
'-x,y,-z'
'x,-y,z'
'x+1/2,y+1/2,z'
'-x+1/2,-y+1/2,-z'
'-x+1/2,y+1/2,-z'
'x+1/2,-y+1/2,z'
loop_
_atom_site_label
_atom_site_type_symbol
_atom_site_fract_x
_atom_site_fract_y
_atom_site_fract_z
Ba1 Ba 0.0970 0.0000 0.3024
I1 I 0.1203 0.5000 0.8415
Br1 Br 0.2002 0.0000 0.5944
```

Calculated values
Relative energy among the computed polymorphs: 38 meV per atom
Spin magnetization: 0.00 Bohr magnetons per cell
Energy: -3.697 eV/atom

BaIBr2 | PBE | optimized geometry

The structure in CIF format:
```
data_BaIBr2
_chemical_formula_sum 'Ba4 I4 Br8'
_space_group_name_H-M_alt 'F m -3 m'
_space_group_IT_number 225
_space_group_name_Hall '-F 4 2 3'
_cell_length_a 8.2638
_cell_length_b 8.2638
_cell_length_c 8.2638
_cell_angle_alpha 90.00
_cell_angle_beta 90.00
_cell_angle_gamma 90.00
loop_
_atom_site_label
_atom_site_type_symbol
_atom_site_fract_x
_atom_site_fract_y
_atom_site_fract_z
Ba1 Ba 0.0000 0.0000 0.0000
I1 I 0.0000 0.0000 0.5000
Br1 Br 0.2500 0.2500 0.2500
```

Calculated values
Relative energy among the computed polymorphs: 53 meV per atom
Spin magnetization: 4.00 Bohr magnetons per cell
Energy: -2.990 eV/atom

Ba4I5Br | PBE | optimized geometry

The structure in CIF format:
```
data_Ba4I5Br
_chemical_formula_sum 'Ba8 I10 Br2'
_space_group_name_H-M_alt 'C 1 2/m 1'
_space_group_IT_number 12
_cell_length_a 21.5270
_cell_length_b 4.9674
_cell_length_c 9.4527
_cell_angle_alpha 90.00
_cell_angle_beta 104.56
_cell_angle_gamma 90.00
loop_
_space_group_symop_operation_xyz
'x,y,z'
'-x,-y,-z'
'-x,y,-z'
'x,-y,z'
'x+1/2,y+1/2,z'
'-x+1/2,-y+1/2,-z'
'-x+1/2,y+1/2,-z'
'x+1/2,-y+1/2,z'
loop_
_atom_site_label
_atom_site_type_symbol
_atom_site_fract_x
_atom_site_fract_y
_atom_site_fract_z
Ba1 Ba 0.0000 0.0000 0.2393
Ba2 Ba 0.1633 0.5000 0.0959
I1 I 0.0000 0.5000 0.5000
I2 I 0.1648 0.0000 0.3493
I3 I 0.1683 0.0000 0.8335
Br1 Br 0.0000 0.5000 0.0000
```

Calculated values
Spin magnetization: 0.00 Bohr magnetons per cell
Energy: -3.307 eV/atom

BaI2Br | PBE | optimized geometry

The structure in CIF format:
```
data_BaI2Br
_chemical_formula_sum 'Ba4 I8 Br4'
_space_group_name_H-M_alt 'F m -3 m'
_space_group_IT_number 225
_space_group_name_Hall '-F 4 2 3'
_cell_length_a 8.5291
_cell_length_b 8.5291
_cell_length_c 8.5291
_cell_angle_alpha 90.00
_cell_angle_beta 90.00
_cell_angle_gamma 90.00
loop_
_atom_site_label
_atom_site_type_symbol
_atom_site_fract_x
_atom_site_fract_y
_atom_site_fract_z
Ba1 Ba 0.0000 0.0000 0.0000
I1 I 0.2500 0.2500 0.2500
Br1 Br 0.0000 0.0000 0.5000
```

Calculated values
Relative energy among the computed polymorphs: 73 meV per atom
Spin magnetization: 4.00 Bohr magnetons per cell
Energy: -2.792 eV/atom

Ba2IBr | PBE | optimized geometry

The structure in CIF format:
```
data_Ba2IBr
_chemical_formula_sum 'Ba8 I4 Br4'
_space_group_name_H-M_alt 'I -4 2 d'
_space_group_IT_number 122
_space_group_name_Hall 'I -4 2bw'
_cell_length_a 7.7742
_cell_length_b 7.7742
_cell_length_c 15.5452
_cell_angle_alpha 90.00
_cell_angle_beta 90.00
_cell_angle_gamma 90.00
loop_
_atom_site_label
_atom_site_type_symbol
_atom_site_fract_x
_atom_site_fract_y
_atom_site_fract_z
Ba1 Ba 0.2263 0.2500 0.1250
I1 I 0.0000 0.0000 0.5000
Br1 Br 0.0000 0.0000 0.0000
```

Calculated values
Relative energy among the computed polymorphs: 160 meV per atom
Spin magnetization: 7.06 Bohr magnetons per cell
Energy: -3.019 eV/atom

Ba2IBr | PBE | optimized geometry

The structure in CIF format:
```
data_Ba2IBr
_chemical_formula_sum 'Ba8 I4 Br4'
_space_group_name_H-M_alt 'F m -3 m'
_space_group_IT_number 225
_space_group_name_Hall '-F 4 2 3'
_cell_length_a 8.3944
_cell_length_b 8.3944
_cell_length_c 8.3944
_cell_angle_alpha 90.00
_cell_angle_beta 90.00
_cell_angle_gamma 90.00
loop_
_atom_site_label
_atom_site_type_symbol
_atom_site_fract_x
_atom_site_fract_y
_atom_site_fract_z
Ba1 Ba 0.2500 0.2500 0.2500
I1 I 0.0000 0.0000 0.0000
Br1 Br 0.0000 0.0000 0.5000
```

Calculated values
Relative energy among the computed polymorphs: 133 meV per atom
Spin magnetization: 5.41 Bohr magnetons per cell
Energy: -3.046 eV/atom

Ba4IBr6 | PBE | optimized geometry

The structure in CIF format:
```
data_Ba4IBr6
_chemical_formula_sum 'Ba8 I2 Br12'
_space_group_name_H-M_alt 'I -4 2 m'
_space_group_IT_number 121
_space_group_name_Hall 'I -4 2'
_cell_length_a 8.3857
_cell_length_b 8.3857
_cell_length_c 13.2092
_cell_angle_alpha 90.00
_cell_angle_beta 90.00
_cell_angle_gamma 90.00
loop_
_atom_site_label
_atom_site_type_symbol
_atom_site_fract_x
_atom_site_fract_y
_atom_site_fract_z
Ba1 Ba 0.2114 0.2114 0.3996
I1 I 0.0000 0.0000 0.0000
Br1 Br 0.0000 0.5000 0.0000
Br2 Br 0.1719 0.1719 0.6764
```

Calculated values
Relative energy among the computed polymorphs: 39 meV per atom
Spin magnetization: 2.01 Bohr magnetons per cell
Energy: -3.740 eV/atom

BaIBr | PBE | optimized geometry

The structure in CIF format:
```
data_BaIBr
_chemical_formula_sum 'Ba1 I1 Br1'
_space_group_name_H-M_alt 'P 3 m 1'
_space_group_IT_number 156
_cell_length_a 5.0942
_cell_length_b 5.0942
_cell_length_c 6.9013
_cell_angle_alpha 90.00
_cell_angle_beta 90.00
_cell_angle_gamma 120.00
loop_
_space_group_symop_operation_xyz
'x,y,z'
'-y,x-y,z'
'-x+y,-x,z'
'-y,-x,z'
'-x+y,y,z'
'x,x-y,z'
loop_
_atom_site_label
_atom_site_type_symbol
_atom_site_fract_x
_atom_site_fract_y
_atom_site_fract_z
Ba1 Ba 0.0000 0.0000 0.0000
I1 I 0.6667 0.3333 0.7277
Br1 Br 0.3333 0.6667 0.2064
```

Calculated values
Relative energy among the computed polymorphs: 72 meV per atom
Spin magnetization: 0.00 Bohr magnetons per cell
Energy: -3.664 eV/atom